1.
ThHgPd: relaxed, PBE.

```
ThHgPd
1.0
3.447 0.000 0.000
0.000 4.832 0.000
0.000 -2.416 4.185
Pd Hg Th
1 1 1
direct
0.167 0.333 0.667
0.167 0.000 0.000
0.667 0.667 0.333
```

* magnetic moment: 0.00 μB per cell
* calculated density: 12.84 Mg/m³
* volume: 23.234 Å³ per atom
* formation energy from the elements: -0.539 eV/atom
* symmetry: No. 187



2.
Na2Ac2SnO6: relaxed, PBE.

```
Na2Ac2SnO6
1.0
-4.147 1.686 4.466
-2.044 -1.429 -5.811
0.638 -5.621 1.834
O Ac Na Sn
6 2 2 1
direct
0.971 0.669 0.309
0.331 0.029 0.691
0.772 0.772 0.708
0.669 0.971 0.309
0.029 0.331 0.691
0.228 0.228 0.292
0.337 0.663 0.500
0.663 0.337 0.500
0.129 0.871 0.000
0.871 0.129 0.000
0.000 0.000 0.500
```

* raw formation energy: -2279.1 meV/atom
* magnetic moment: 0.00 μB per cell
* calculated density: 5.88 Mg/m³
* volume: 18.342 Å³ per atom
* symmetry: No. 12



3.
AlCdAu2: relaxed, PBE.

```
AlCdAu2
1.0
-2.898 -1.687 1.370
1.264 -3.166 -1.225
2.770 -0.787 4.892
Cd Au Al
1 2 1
direct
0.000 0.000 0.481
0.500 0.500 0.265
0.000 0.000 0.966
0.500 0.500 0.788
```

* magnetic moment: 0.00 μB per cell
* calculated density: 11.89 Mg/m³
* volume: 18.617 Å³ per atom
* formation energy from the elements: -0.205 eV/atom
* symmetry: No. 99



4.
Mg3MnRh: relaxed, PBE.

```
Mg3MnRh
1.0
4.891 0.000 0.000
0.000 4.891 0.000
0.000 0.000 4.891
Rh Mg Mn
1 3 1
direct
0.000 0.000 0.000
0.000 0.500 0.000
0.000 0.000 0.500
0.500 0.000 0.000
0.500 0.500 0.500
```

* magnetic moment: 4.52 μB per cell
* calculated density: 3.27 Mg/m³
* volume: 23.405 Å³ per atom
* formation energy from the elements: 0.322 eV/atom
* symmetry: No. 221



5.
AcReRuO6: relaxed, PBE.

```
AcReRuO6
1.0
-2.966 4.450 -1.964
-1.902 -5.299 -0.872
-4.086 0.328 6.913
O Re Ru Ac
12 2 2 2
direct
0.083 0.369 0.613
0.714 0.631 0.113
0.286 0.369 0.887
0.286 0.917 0.613
0.631 0.714 0.613
0.917 0.631 0.387
0.083 0.714 0.887
0.631 0.917 0.887
0.369 0.083 0.113
0.714 0.083 0.387
0.369 0.286 0.387
0.917 0.286 0.113
0.333 0.667 0.750
0.667 0.333 0.250
0.000 0.000 0.500
0.000 0.000 0.000
0.333 0.667 0.250
0.667 0.333 0.750
```

* raw formation energy: -1711.2 meV/atom
* magnetic moment: 0.00 μB per cell
* calculated density: 8.97 Mg/m³
* volume: 12.552 Å³ per atom
* symmetry: No. 163



6.
NpV2Zn: relaxed, PBE.

```
NpV2Zn
1.0
-2.921 -0.794 1.083
1.244 -0.625 2.898
-0.945 5.716 1.639
V Np Zn
2 1 1
direct
0.000 0.000 0.224
0.000 0.000 0.776
0.500 0.500 0.000
0.500 0.500 0.500
```

* magnetic moment: 2.42 μB per cell
* calculated density: 10.79 Mg/m³
* volume: 15.559 Å³ per atom
* formation energy from the elements: 0.318 eV/atom
* symmetry: No. 123